First-principles (GGA-PBE) data for a relaxed ReTeP2 crystal, as listed in Alexandria.

The structure in POSCAR format:
```
ReTeP2
1.0
3.901 -1.589 0.000
3.901 1.589 0.000
-0.503 0.000 7.352
Re Te P
1 1 2
Cartesian
0.000 0.000 0.000
1.662 0.000 5.450
3.924 0.000 1.993
5.523 0.000 0.683
```

## Properties
Calculated total energy, eV/cell: -26.1
Total magnetic moment, μB per cell: 0.0



First-principles (GGA-PBE) data for a relaxed Sc3Sb2O2 crystal, as listed in Alexandria.

The structure in POSCAR format:
```
Sc3Sb2O2
1.0
5.781 -1.800 0.000
5.781 1.800 0.000
-2.220 0.000 6.644
Sc Sb O
3 2 2
Cartesian
0.000 0.000 0.000
3.105 0.000 1.333
6.236 0.000 5.310
2.943 0.000 4.352
6.398 0.000 2.291
-0.188 0.000 6.111
9.529 0.000 0.532
```

## Properties
Calculated total energy, eV/cell: -51.6
Total magnetic moment, μB per cell: 0.0



First-principles (GGA-PBE) data for a relaxed ReTeOs2W crystal, as listed in Alexandria.

The structure in POSCAR format:
```
ReTeOs2W
1.0
4.713 0.000 0.000
0.000 4.713 0.000
0.000 0.000 4.836
Re Te Os W
1 1 2 1
Cartesian
0.000 0.000 0.000
2.357 2.357 2.418
0.000 2.357 2.418
2.357 0.000 2.418
2.357 2.357 0.000
```

## Properties
Calculated total energy, eV/cell: -36.3
Total magnetic moment, μB per cell: 2.8



First-principles (GGA-PBE) data for a relaxed Th3CSe crystal, as listed in Alexandria.

The structure in POSCAR format:
```
Th3CSe
1.0
1.879 -9.830 0.000
1.879 9.830 0.000
0.000 0.000 7.024
Th C Se
6 2 2
Cartesian
1.879 8.473 3.512
1.879 4.692 0.907
1.879 1.754 2.952
1.879 -1.754 6.463
1.879 -4.692 4.419
1.879 -8.473 0.000
1.879 6.650 5.371
1.879 -6.650 1.859
1.879 3.078 5.515
1.879 -3.078 2.003
```

## Properties
Calculated total energy, eV/cell: -75.6
Total magnetic moment, μB per cell: 0.0



First-principles (GGA-PBE) data for a relaxed BeBiAu2 crystal, as listed in Alexandria.

The structure in POSCAR format:
```
BeBiAu2
1.0
3.091 0.000 0.000
0.000 3.091 0.000
0.000 0.000 7.891
Be Bi Au
1 1 2
Cartesian
0.000 0.000 0.000
0.000 0.000 3.946
1.545 1.545 1.400
1.545 1.545 6.491
```

## Properties
Calculated total energy, eV/cell: -14.1
Total magnetic moment, μB per cell: 0.0
Energy of formation from the pure elements, eV per atom: 0.027
Distance to the lowest polymorph of the same formula, eV per formula unit: 0.00



First-principles (GGA-PBE) data for a relaxed Ce5Th2 crystal, as listed in Alexandria.

The structure in POSCAR format:
```
Ce5Th2
1.0
2.762 1.595 7.867
-2.762 1.595 7.867
0.000 -3.189 7.867
Ce Th
5 2
Cartesian
0.000 0.000 0.000
0.000 0.000 7.294
0.000 0.000 9.990
0.000 0.000 13.610
0.000 0.000 16.305
0.000 0.000 3.688
0.000 0.000 19.912
```

## Properties
Calculated total energy, eV/cell: -43.3
Total magnetic moment, μB per cell: 0.0
Energy of formation from the pure elements, eV per atom: 0.168
Distance to the lowest polymorph of the same formula, eV per formula unit: 0.33



First-principles (GGA-PBE) data for a relaxed ZrAg2I8 crystal, as listed in Alexandria.

The structure in POSCAR format:
```
ZrAg2I8
1.0
6.258 -6.221 0.000
6.258 6.221 0.000
-2.414 0.000 6.780
Zr Ag I
1 2 8
Cartesian
0.000 0.000 0.000
0.566 0.000 4.505
9.537 0.000 2.275
4.802 4.082 1.288
2.032 0.000 2.123
5.300 4.082 5.491
3.324 0.000 5.490
6.779 0.000 1.290
4.802 -4.082 1.288
8.071 0.000 4.656
5.300 -4.082 5.491
```

## Properties
Calculated total energy, eV/cell: -31.7
Total magnetic moment, μB per cell: 0.0



First-principles (GGA-PBE) data for a relaxed BC2 crystal, as listed in Alexandria.

The structure in POSCAR format:
```
BC2
1.0
6.834 -1.314 0.000
6.834 1.314 0.000
-1.558 0.000 4.347
B C
4 8
Cartesian
0.000 0.000 0.000
-0.129 0.000 2.608
4.710 0.000 1.377
8.245 0.000 4.292
1.249 0.000 3.327
2.209 0.000 2.110
3.690 0.000 2.637
6.265 0.000 1.909
7.344 0.000 0.705
8.800 0.000 1.225
11.424 0.000 0.394
10.741 0.000 3.496
```

## Properties
Calculated total energy, eV/cell: -96.2
Total magnetic moment, μB per cell: 0.0
Energy of formation from the pure elements, eV per atom: 0.362
Distance to the lowest polymorph of the same formula, eV per formula unit: 0.37



First-principles (GGA-PBE) data for a relaxed HfCrSn2B crystal, as listed in Alexandria.

The structure in POSCAR format:
```
HfCrSn2B
1.0
5.486 0.000 0.000
0.000 5.486 0.000
0.000 0.000 4.467
Hf Cr Sn B
1 1 2 1
Cartesian
0.000 0.000 0.000
2.743 2.743 2.233
0.000 2.743 0.000
2.743 0.000 0.000
0.000 0.000 2.233
```

## Properties
Calculated total energy, eV/cell: -28.5
Total magnetic moment, μB per cell: 4.3
Energy of formation from the pure elements, eV per atom: 1.158



First-principles (GGA-PBE) data for a relaxed LaHo3Ga3 crystal, as listed in Alexandria.

The structure in POSCAR format:
```
LaHo3Ga3
1.0
4.546 2.624 5.478
-4.546 2.624 5.478
0.000 -5.249 5.478
La Ho Ga
2 6 6
Cartesian
0.000 0.000 2.945
0.000 0.000 13.488
-2.195 0.034 6.734
-1.127 -1.884 9.699
1.068 -1.918 6.734
-1.068 1.918 9.699
1.127 1.884 6.734
2.195 -0.034 9.699
-1.761 -3.153 7.037
-3.611 -0.052 9.396
-1.851 3.101 7.037
1.851 -3.101 9.396
3.611 0.052 7.037
1.761 3.153 9.396
```

## Properties
Calculated total energy, eV/cell: -60.2
Total magnetic moment, μB per cell: 0.0
Energy of formation from the pure elements, eV per atom: -0.340



First-principles (GGA-PBE) data for a relaxed Pa3GeTe8 crystal, as listed in Alexandria.

The structure in POSCAR format:
```
Pa3GeTe8
1.0
8.807 0.000 0.000
-4.403 7.627 0.000
0.000 0.000 14.011
Pa Ge Te
6 2 16
Cartesian
0.000 2.527 0.000
-2.215 6.363 0.000
2.189 1.264 7.005
2.215 6.363 0.000
6.618 1.264 7.005
4.403 5.100 7.005
0.000 5.085 3.186
4.403 2.542 10.191
0.000 0.000 1.757
0.000 0.000 8.762
-2.107 3.868 1.777
0.000 2.524 5.436
-2.217 6.365 5.436
2.186 1.262 12.441
0.000 5.085 12.296
2.107 3.868 1.777
0.000 7.518 1.777
4.403 0.109 8.783
2.296 3.759 8.783
4.403 2.542 5.290
2.217 6.365 5.436
6.621 1.262 12.441
4.403 5.103 12.441
6.511 3.759 8.783
```

## Properties
Calculated total energy, eV/cell: -131.8
Total magnetic moment, μB per cell: 2.3



First-principles (GGA-PBE) data for a relaxed Zr3NbFe crystal, as listed in Alexandria.

The structure in POSCAR format:
```
Zr3NbFe
1.0
5.004 0.000 0.000
0.000 5.004 0.000
0.000 0.000 5.004
Zr Nb Fe
3 1 1
Cartesian
0.000 0.000 2.502
0.000 2.502 0.000
2.502 0.000 0.000
0.000 0.000 0.000
2.502 2.502 2.502
```

## Properties
Calculated total energy, eV/cell: -36.9
Total magnetic moment, μB per cell: 0.0
Energy of formation from the pure elements, eV per atom: 1.461
Distance to the lowest polymorph of the same formula, eV per formula unit: 5.02



First-principles (GGA-PBE) data for a relaxed Pm2Dy2Er2In crystal, as listed in Alexandria.

The structure in POSCAR format:
```
Pm2Dy2Er2In
1.0
5.850 -1.759 0.000
5.850 1.759 0.000
-4.444 0.000 10.687
Pm Dy Er In
2 2 2 1
Cartesian
-0.767 0.000 2.734
8.024 0.000 7.953
-0.560 0.000 6.251
7.818 0.000 4.436
2.339 0.000 1.407
4.919 0.000 9.280
5.850 0.000 0.000
```

## Properties
Calculated total energy, eV/cell: -30.7
Total magnetic moment, μB per cell: 0.0
Energy of formation from the pure elements, eV per atom: -0.023



First-principles (GGA-PBE) data for a relaxed MnIn2Co crystal, as listed in Alexandria.

The structure in POSCAR format:
```
MnIn2Co
1.0
5.709 -1.514 0.000
5.709 1.514 0.000
-1.737 0.000 4.119
Mn In Co
1 2 1
Cartesian
0.000 0.000 0.000
1.028 0.000 2.871
3.941 0.000 1.678
7.480 0.000 0.758
```

## Properties
Calculated total energy, eV/cell: -21.0
Total magnetic moment, μB per cell: 4.6
Energy of formation from the pure elements, eV per atom: 0.182



First-principles (GGA-PBE) data for a relaxed Ca2Pr2Sm3 crystal, as listed in Alexandria.

The structure in POSCAR format:
```
Ca2Pr2Sm3
1.0
5.827 -2.655 0.000
5.827 2.655 0.000
-1.306 0.000 8.139
Ca Pr Sm
2 2 3
Cartesian
0.528 0.000 1.742
9.820 0.000 6.398
1.694 0.000 5.246
8.654 0.000 2.893
3.987 0.000 0.612
5.174 0.000 4.070
6.361 0.000 7.527
```

## Properties
Calculated total energy, eV/cell: -27.1
Total magnetic moment, μB per cell: 0.0
Energy of formation from the pure elements, eV per atom: 0.085



First-principles (GGA-PBE) data for a relaxed SmScSe crystal, as listed in Alexandria.

The structure in POSCAR format:
```
SmScSe
1.0
3.804 0.000 0.000
-1.902 3.294 0.000
0.000 0.000 6.349
Sm Sc Se
1 1 1
Cartesian
0.000 0.000 0.000
1.902 1.098 2.823
0.000 2.196 4.406
```

## Properties
Calculated total energy, eV/cell: -17.6
Total magnetic moment, μB per cell: 0.0
Distance to the lowest polymorph of the same formula, eV per formula unit: 0.00



First-principles (GGA-PBE) data for a relaxed Sm7Dy3Sc2 crystal, as listed in Alexandria.

The structure in POSCAR format:
```
Sm7Dy3Sc2
1.0
2.856 -18.744 0.000
2.856 18.744 0.000
0.000 0.000 3.570
Sm Dy Sc
7 3 2
Cartesian
0.000 0.000 0.000
2.856 15.959 1.785
2.856 10.093 0.000
2.856 3.575 0.000
2.856 -3.575 0.000
2.856 -10.093 0.000
2.856 -15.959 1.785
2.856 6.896 1.785
2.856 0.000 1.785
2.856 -6.896 1.785
2.856 13.164 0.000
2.856 -13.164 0.000
```

## Properties
Calculated total energy, eV/cell: -57.9
Total magnetic moment, μB per cell: 0.0
Energy of formation from the pure elements, eV per atom: 0.130
Distance to the lowest polymorph of the same formula, eV per formula unit: 0.00



First-principles (GGA-PBE) data for a relaxed LiVN crystal, as listed in Alexandria.

The structure in POSCAR format:
```
LiVN
1.0
6.914 0.000 0.000
0.000 3.262 0.000
0.000 0.000 4.910
Li V N
4 4 4
Cartesian
0.565 0.816 0.316
2.892 2.447 2.771
4.022 0.816 2.139
6.349 2.447 4.594
0.958 0.816 2.706
2.499 2.447 0.251
4.414 0.816 4.659
5.956 2.447 2.204
0.844 2.447 1.390
2.612 0.816 3.846
4.301 2.447 1.065
6.069 0.816 3.520
```

## Properties
Calculated total energy, eV/cell: -84.4
Total magnetic moment, μB per cell: 0.0
Distance to the lowest polymorph of the same formula, eV per formula unit: 0.00



First-principles (GGA-PBE) data for a relaxed BaHo2Tl3 crystal, as listed in Alexandria.

The structure in POSCAR format:
```
BaHo2Tl3
1.0
3.886 0.000 0.000
0.000 3.886 0.000
0.000 0.000 12.173
Ba Ho Tl
1 2 3
Cartesian
0.000 0.000 0.000
0.000 0.000 4.238
0.000 0.000 7.935
1.943 1.943 2.458
1.943 1.943 6.087
1.943 1.943 9.715
```

## Properties
Calculated total energy, eV/cell: -20.3
Total magnetic moment, μB per cell: 0.0
Energy of formation from the pure elements, eV per atom: -0.346



First-principles (GGA-PBE) data for a relaxed CdCu2Si2 crystal, as listed in Alexandria.

The structure in POSCAR format:
```
CdCu2Si2
1.0
-1.798 1.798 5.940
1.798 -1.798 5.940
1.798 1.798 -5.940
Cd Cu Si
1 2 2
Cartesian
0.000 0.000 0.000
0.000 0.000 4.661
0.000 0.000 7.218
1.798 0.000 2.970
0.000 1.798 2.970
```

## Properties
Calculated total energy, eV/cell: -19.3
Total magnetic moment, μB per cell: 0.0
Distance to the lowest polymorph of the same formula, eV per formula unit: 0.00